# Al2Si2Ni GGA-PBE relaxed
# Raw formation energy   -145.1 meV per atom
data_Al2Si2Ni
_chemical_formula_sum 'Al4 Si4 Ni2'
_cell_length_a 3.903
_cell_length_b 10.394
_cell_length_c 3.682
_cell_angle_alpha 90.00
_cell_angle_beta 90.00
_cell_angle_gamma 90.00
_symmetry_space_group_name_H-M 'C m m m'
_symmetry_Int_Tables_number 65
_symmetry_space_group_name_Hall '-C 2 2'
loop_
_atom_site_label
_atom_site_type_symbol
_atom_site_fract_x
_atom_site_fract_y
_atom_site_fract_z
_atom_site_occupancy
Al1 Al 0.000 0.158 0.000 1
Si1 Si 0.000 0.375 0.500 1
Ni1 Ni 0.000 0.000 0.500 1

***

# AlSiNi2 GGA-PBE relaxed
# Raw formation energy   -201.7 meV per atom
data_AlSiNi2
_chemical_formula_sum 'Al4 Si4 Ni8'
_cell_length_a 5.776
_cell_length_b 5.776
_cell_length_c 5.776
_cell_angle_alpha 90.00
_cell_angle_beta 90.00
_cell_angle_gamma 90.00
_symmetry_space_group_name_H-M 'F -4 3 m'
_symmetry_Int_Tables_number 216
_symmetry_space_group_name_Hall 'F -4 2 3'
loop_
_atom_site_label
_atom_site_type_symbol
_atom_site_fract_x
_atom_site_fract_y
_atom_site_fract_z
_atom_site_occupancy
Al1 Al 0.000 0.000 0.000 1
Si1 Si 0.250 0.250 0.250 1
Ni1 Ni 0.000 0.000 0.500 1
Ni2 Ni 0.250 0.250 0.750 1

***

# Al3Si3Ni2 GGA-PBE relaxed
# Offset from the most stable computed form   0.050 eV per atom
# Raw formation energy   -162.0 meV per atom
data_Al3Si3Ni2
_chemical_formula_sum 'Al3 Si3 Ni2'
_cell_length_a 6.3783
_cell_length_b 6.3783
_cell_length_c 3.1065
_cell_angle_alpha 90.00
_cell_angle_beta 90.00
_cell_angle_gamma 120.00
_symmetry_space_group_name_H-M 'P -6 2 m'
_symmetry_Int_Tables_number 189
_symmetry_space_group_name_Hall 'P -6 -2'
loop_
_atom_site_label
_atom_site_type_symbol
_atom_site_fract_x
_atom_site_fract_y
_atom_site_fract_z
_atom_site_occupancy
Al1 Al 0.0000 0.3857 0.0000 1
Si1 Si 0.0000 0.7593 0.5000 1
Ni1 Ni 0.3333 0.6667 0.5000 1

***

# Al3Si3Ni2 GGA-PBE relaxed
# Offset from the most stable computed form   0.000 eV per atom
# Raw formation energy   -211.7 meV per atom
data_Al3Si3Ni2
_chemical_formula_sum 'Al6 Si6 Ni4'
_cell_length_a 4.651
_cell_length_b 7.385
_cell_length_c 7.628
_cell_angle_alpha 105.18
_cell_angle_beta 98.15
_cell_angle_gamma 108.00
_symmetry_space_group_name_H-M 'P -1'
_symmetry_Int_Tables_number 2
loop_
_symmetry_equiv_pos_as_xyz
'x,y,z'
'-x,-y,-z'
loop_
_atom_site_label
_atom_site_type_symbol
_atom_site_fract_x
_atom_site_fract_y
_atom_site_fract_z
_atom_site_occupancy
Al1 Al 0.001 0.136 0.256 1
Al2 Al 0.014 0.279 0.913 1
Al3 Al 0.299 0.577 0.630 1
Si1 Si 0.223 0.499 0.251 1
Si2 Si 0.326 0.131 0.561 1
Si3 Si 0.471 0.169 0.010 1
Ni1 Ni 0.116 0.766 0.419 1
Ni2 Ni 0.451 0.035 0.265 1

***

# AlSiNi2 GGA-PBE relaxed
# Raw formation energy   -384.0 meV per atom
data_AlSiNi2
_chemical_formula_sum 'Al3 Si3 Ni6'
_cell_length_a 2.7048
_cell_length_b 2.7048
_cell_length_c 22.8551
_cell_angle_alpha 90.00
_cell_angle_beta 90.00
_cell_angle_gamma 120.00
_symmetry_space_group_name_H-M 'R -3 m'
_symmetry_Int_Tables_number 166
_symmetry_space_group_name_Hall '-R 3 2"'
loop_
_atom_site_label
_atom_site_type_symbol
_atom_site_fract_x
_atom_site_fract_y
_atom_site_fract_z
_atom_site_occupancy
Al1 Al 0.0000 0.0000 0.0000 1
Si1 Si 0.0000 0.0000 0.5000 1
Ni1 Ni 0.0000 0.0000 0.2465 1

***

# Al2Si3Ni3 GGA-PBE relaxed
# Offset from the most stable computed form   0.192 eV per atom
# Raw formation energy   -113.9 meV per atom
data_Al2Si3Ni3
_chemical_formula_sum 'Al2 Si3 Ni3'
_cell_length_a 6.2660
_cell_length_b 6.2660
_cell_length_c 3.3184
_cell_angle_alpha 90.00
_cell_angle_beta 90.00
_cell_angle_gamma 120.00
_symmetry_space_group_name_H-M 'P -6 2 m'
_symmetry_Int_Tables_number 189
_symmetry_space_group_name_Hall 'P -6 -2'
loop_
_atom_site_label
_atom_site_type_symbol
_atom_site_fract_x
_atom_site_fract_y
_atom_site_fract_z
_atom_site_occupancy
Al1 Al 0.3333 0.6667 0.0000 1
Si1 Si 0.0000 0.2902 0.5000 1
Ni1 Ni 0.0000 0.7632 0.0000 1

***

# AlSi2Ni4 GGA-PBE relaxed
# Offset from the most stable computed form   0.377 eV per atom
# Raw formation energy   -152.9 meV per atom
data_AlSi2Ni4
_chemical_formula_sum 'Al1 Si2 Ni4'
_cell_length_a 2.6817
_cell_length_b 2.6817
_cell_length_c 13.9050
_cell_angle_alpha 90.00
_cell_angle_beta 90.00
_cell_angle_gamma 120.00
_symmetry_space_group_name_H-M 'P -3 m 1'
_symmetry_Int_Tables_number 164
_symmetry_space_group_name_Hall '-P 3 2"'
loop_
_atom_site_label
_atom_site_type_symbol
_atom_site_fract_x
_atom_site_fract_y
_atom_site_fract_z
_atom_site_occupancy
Al1 Al 0.0000 0.0000 0.0000 1
Si1 Si 0.3333 0.6667 0.6977 1
Ni1 Ni 0.3333 0.6667 0.4265 1
Ni2 Ni 0.3333 0.6667 0.8604 1

***

# Al3SiNi2 GGA-PBE relaxed
# Offset from the most stable computed form   0.000 eV per atom
# Raw formation energy   -287.6 meV per atom
data_Al3SiNi2
_chemical_formula_sum 'Al6 Si2 Ni4'
_cell_length_a 5.6031
_cell_length_b 5.6031
_cell_length_c 5.9535
_cell_angle_alpha 90.00
_cell_angle_beta 90.00
_cell_angle_gamma 120.00
_symmetry_space_group_name_H-M 'P -3 m 1'
_symmetry_Int_Tables_number 164
_symmetry_space_group_name_Hall '-P 3 2"'
loop_
_atom_site_label
_atom_site_type_symbol
_atom_site_fract_x
_atom_site_fract_y
_atom_site_fract_z
_atom_site_occupancy
Al1 Al 0.1650 0.3300 0.1894 1
Si1 Si 0.3333 0.6667 0.7998 1
Ni1 Ni 0.0000 0.0000 0.5000 1
Ni2 Ni 0.0000 0.5000 0.5000 1

***

# Al2Si2Ni GGA-PBE relaxed
# Raw formation energy   172.1 meV per atom
data_Al2Si2Ni
_chemical_formula_sum 'Al4 Si4 Ni2'
_cell_length_a 3.285
_cell_length_b 3.285
_cell_length_c 14.378
_cell_angle_alpha 90.00
_cell_angle_beta 90.00
_cell_angle_gamma 90.00
_symmetry_space_group_name_H-M 'I 4/m m m'
_symmetry_Int_Tables_number 139
_symmetry_space_group_name_Hall '-I 4 2'
loop_
_atom_site_label
_atom_site_type_symbol
_atom_site_fract_x
_atom_site_fract_y
_atom_site_fract_z
_atom_site_occupancy
Al1 Al 0.000 0.000 0.092 1
Si1 Si 0.000 0.500 0.250 1
Ni1 Ni 0.000 0.000 0.500 1

***

# AlSi2Ni8 GGA-PBE relaxed
# Offset from the most stable computed form   0.000 eV per atom
# Raw formation energy   -444.1 meV per atom
data_AlSi2Ni8
_chemical_formula_sum 'Al2 Si4 Ni16'
_cell_length_a 3.685
_cell_length_b 6.301
_cell_length_c 10.778
_cell_angle_alpha 90.00
_cell_angle_beta 90.00
_cell_angle_gamma 90.00
_symmetry_space_group_name_H-M 'I m m m'
_symmetry_Int_Tables_number 71
_symmetry_space_group_name_Hall '-I 2 2'
loop_
_atom_site_label
_atom_site_type_symbol
_atom_site_fract_x
_atom_site_fract_y
_atom_site_fract_z
_atom_site_occupancy
Al1 Al 0.000 0.000 0.000 1
Si1 Si 0.000 0.000 0.311 1
Ni1 Ni 0.000 0.198 0.500 1
Ni2 Ni 0.000 0.279 0.163 1
Ni3 Ni 0.000 0.500 0.351 1

***

# AlSiNi GGA-PBE relaxed
# Raw formation energy   -341.7 meV per atom
data_AlSiNi
_chemical_formula_sum 'Al4 Si4 Ni4'
_cell_length_a 4.604
_cell_length_b 5.483
_cell_length_c 7.513
_cell_angle_alpha 69.88
_cell_angle_beta 73.59
_cell_angle_gamma 69.93
_symmetry_space_group_name_H-M 'P -1'
_symmetry_Int_Tables_number 2
loop_
_symmetry_equiv_pos_as_xyz
'x,y,z'
'-x,-y,-z'
loop_
_atom_site_label
_atom_site_type_symbol
_atom_site_fract_x
_atom_site_fract_y
_atom_site_fract_z
_atom_site_occupancy
Al1 Al 0.173 0.122 0.308 1
Al2 Al 0.305 0.510 0.879 1
Si1 Si 0.292 0.969 0.949 1
Si2 Si 0.311 0.402 0.487 1
Ni1 Ni 0.081 0.653 0.209 1
Ni2 Ni 0.307 0.964 0.645 1

***

# AlSiNi5 GGA-PBE relaxed
# Offset from the most stable computed form   0.060 eV per atom
# Raw formation energy   -298.2 meV per atom
data_AlSiNi5
_chemical_formula_sum 'Al1 Si1 Ni5'
_cell_length_a 3.614
_cell_length_b 3.614
_cell_length_c 6.470
_cell_angle_alpha 90.00
_cell_angle_beta 90.00
_cell_angle_gamma 90.00
_symmetry_space_group_name_H-M 'P 4/m m m'
_symmetry_Int_Tables_number 123
_symmetry_space_group_name_Hall '-P 4 2'
loop_
_atom_site_label
_atom_site_type_symbol
_atom_site_fract_x
_atom_site_fract_y
_atom_site_fract_z
_atom_site_occupancy
Al1 Al 0.000 0.000 0.000 1
Si1 Si 0.500 0.500 0.500 1
Ni1 Ni 0.000 0.000 0.500 1
Ni2 Ni 0.000 0.500 0.248 1

***

# Al2SiNi8 GGA-PBE relaxed
# Offset from the most stable computed form   0.019 eV per atom
# Raw formation energy   -386.9 meV per atom
data_Al2SiNi8
_chemical_formula_sum 'Al2 Si1 Ni8'
_cell_length_a 3.600
_cell_length_b 3.600
_cell_length_c 9.914
_cell_angle_alpha 90.00
_cell_angle_beta 90.00
_cell_angle_gamma 90.00
_symmetry_space_group_name_H-M 'P 4/m m m'
_symmetry_Int_Tables_number 123
_symmetry_space_group_name_Hall '-P 4 2'
loop_
_atom_site_label
_atom_site_type_symbol
_atom_site_fract_x
_atom_site_fract_y
_atom_site_fract_z
_atom_site_occupancy
Al1 Al 0.000 0.000 0.176 1
Si1 Si 0.000 0.000 0.500 1
Ni1 Ni 0.000 0.500 0.000 1
Ni2 Ni 0.000 0.500 0.360 1
Ni3 Ni 0.500 0.500 0.177 1

***

# Al2SiNi2 GGA-PBE relaxed
# Offset from the most stable computed form   0.116 eV per atom
# Raw formation energy   -446.9 meV per atom
data_Al2SiNi2
_chemical_formula_sum 'Al8 Si4 Ni8'
_cell_length_a 8.659
_cell_length_b 4.806
_cell_length_c 6.445
_cell_angle_alpha 90.00
_cell_angle_beta 105.14
_cell_angle_gamma 90.00
_symmetry_space_group_name_H-M 'C 1 2/c 1'
_symmetry_Int_Tables_number 15
loop_
_symmetry_equiv_pos_as_xyz
'x,y,z'
'-x,-y,-z'
'-x,y,-z+1/2'
'x,-y,z+1/2'
'x+1/2,y+1/2,z'
'-x+1/2,-y+1/2,-z'
'-x+1/2,y+1/2,-z+1/2'
'x+1/2,-y+1/2,z+1/2'
loop_
_atom_site_label
_atom_site_type_symbol
_atom_site_fract_x
_atom_site_fract_y
_atom_site_fract_z
_atom_site_occupancy
Al1 Al 0.164 0.130 0.150 1
Si1 Si 0.000 0.283 0.750 1
Ni1 Ni 0.122 0.370 0.480 1

***

# AlSiNi GGA-PBE relaxed
# Raw formation energy   -255.7 meV per atom
data_AlSiNi
_chemical_formula_sum 'Al1 Si1 Ni1'
_cell_length_a 2.8172
_cell_length_b 2.8172
_cell_length_c 5.7507
_cell_angle_alpha 90.00
_cell_angle_beta 90.00
_cell_angle_gamma 120.00
_symmetry_space_group_name_H-M 'P 3 m 1'
_symmetry_Int_Tables_number 156
loop_
_symmetry_equiv_pos_as_xyz
'x,y,z'
'-y,x-y,z'
'-x+y,-x,z'
'-y,-x,z'
'-x+y,y,z'
'x,x-y,z'
loop_
_atom_site_label
_atom_site_type_symbol
_atom_site_fract_x
_atom_site_fract_y
_atom_site_fract_z
_atom_site_occupancy
Al1 Al 0.0000 0.0000 0.0000 1
Si1 Si 0.3333 0.6667 0.6282 1
Ni1 Ni 0.6667 0.3333 0.3296 1

***

# AlSiNi GGA-PBE relaxed
# Raw formation energy   -287.6 meV per atom
data_AlSiNi
_chemical_formula_sum 'Al4 Si4 Ni4'
_cell_length_a 3.822
_cell_length_b 8.605
_cell_length_c 5.229
_cell_angle_alpha 90.00
_cell_angle_beta 90.00
_cell_angle_gamma 90.00
_symmetry_space_group_name_H-M 'P b c m'
_symmetry_Int_Tables_number 57
loop_
_symmetry_equiv_pos_as_xyz
'x,y,z'
'-x,-y,-z'
'-x,-y,z+1/2'
'x,y,-z+1/2'
'x,-y+1/2,-z'
'-x,y+1/2,z'
'-x,y+1/2,-z+1/2'
'x,-y+1/2,z+1/2'
loop_
_atom_site_label
_atom_site_type_symbol
_atom_site_fract_x
_atom_site_fract_y
_atom_site_fract_z
_atom_site_occupancy
Al1 Al 0.022 0.009 0.250 1
Si1 Si 0.487 0.193 0.750 1
Ni1 Ni 0.011 0.750 0.000 1

***

# AlSiNi GGA-PBE relaxed
# Raw formation energy   -505.7 meV per atom
data_AlSiNi
_chemical_formula_sum 'Al4 Si4 Ni4'
_cell_length_a 5.525
_cell_length_b 5.525
_cell_length_c 5.525
_cell_angle_alpha 90.00
_cell_angle_beta 90.00
_cell_angle_gamma 90.00
_symmetry_space_group_name_H-M 'F -4 3 m'
_symmetry_Int_Tables_number 216
_symmetry_space_group_name_Hall 'F -4 2 3'
loop_
_atom_site_label
_atom_site_type_symbol
_atom_site_fract_x
_atom_site_fract_y
_atom_site_fract_z
_atom_site_occupancy
Al1 Al 0.000 0.000 0.000 1
Si1 Si 0.000 0.000 0.500 1
Ni1 Ni 0.250 0.250 0.250 1

***

# AlSiNi2 GGA-PBE relaxed
# Raw formation energy   -415.8 meV per atom
data_AlSiNi2
_chemical_formula_sum 'Al1 Si1 Ni2'
_cell_length_a 2.7506
_cell_length_b 2.7506
_cell_length_c 7.4384
_cell_angle_alpha 90.00
_cell_angle_beta 90.00
_cell_angle_gamma 120.00
_symmetry_space_group_name_H-M 'P -6 m 2'
_symmetry_Int_Tables_number 187
_symmetry_space_group_name_Hall 'P -6 2'
loop_
_atom_site_label
_atom_site_type_symbol
_atom_site_fract_x
_atom_site_fract_y
_atom_site_fract_z
_atom_site_occupancy
Al1 Al 0.0000 0.0000 0.0000 1
Si1 Si 0.0000 0.0000 0.5000 1
Ni1 Ni 0.3333 0.6667 0.2659 1

***

# Al2Si5Ni GGA-PBE relaxed
# Offset from the most stable computed form   0.164 eV per atom
# Raw formation energy   318.2 meV per atom
data_Al2Si5Ni
_chemical_formula_sum 'Al4 Si10 Ni2'
_cell_length_a 2.650
_cell_length_b 8.984
_cell_length_c 9.848
_cell_angle_alpha 90.00
_cell_angle_beta 90.00
_cell_angle_gamma 90.00
_symmetry_space_group_name_H-M 'I m m m'
_symmetry_Int_Tables_number 71
_symmetry_space_group_name_Hall '-I 2 2'
loop_
_atom_site_label
_atom_site_type_symbol
_atom_site_fract_x
_atom_site_fract_y
_atom_site_fract_z
_atom_site_occupancy
Al1 Al 0.000 0.000 0.224 1
Si1 Si 0.000 0.000 0.500 1
Si2 Si 0.000 0.272 0.126 1
Ni1 Ni 0.000 0.500 0.500 1

***

# AlSi4Ni GGA-PBE relaxed
# Offset from the most stable computed form   0.044 eV per atom
# Raw formation energy   87.8 meV per atom
data_AlSi4Ni
_chemical_formula_sum 'Al2 Si8 Ni2'
_cell_length_a 6.841
_cell_length_b 3.419
_cell_length_c 7.435
_cell_angle_alpha 90.00
_cell_angle_beta 90.00
_cell_angle_gamma 90.00
_symmetry_space_group_name_H-M 'P m m a'
_symmetry_Int_Tables_number 51
loop_
_symmetry_equiv_pos_as_xyz
'x,y,z'
'-x,-y,-z'
'-x+1/2,-y,z'
'x+1/2,y,-z'
'x+1/2,-y,-z'
'-x+1/2,y,z'
'-x,y,-z'
'x,-y,z'
loop_
_atom_site_label
_atom_site_type_symbol
_atom_site_fract_x
_atom_site_fract_y
_atom_site_fract_z
_atom_site_occupancy
Al1 Al 0.250 0.000 0.082 1
Si1 Si 0.000 0.000 0.500 1
Si2 Si 0.039 0.500 0.835 1
Si3 Si 0.250 0.500 0.382 1
Ni1 Ni 0.250 0.000 0.748 1

***

| no. | total magnetic moment (μB per atom) |
| --- | --- |
| 1 | 0.00 |
| 2 | 0.00 |
| 3 | 0.00 |
| 4 | 0.00 |
| 5 | 0.00 |
| 6 | 0.00 |
| 7 | 0.00 |
| 8 | 0.00 |
| 9 | 0.00 |
| 10 | 0.00 |
| 11 | 0.00 |
| 12 | 0.00 |
| 13 | 0.02 |
| 14 | 0.00 |
| 15 | 0.00 |
| 16 | 0.00 |
| 17 | 0.00 |
| 18 | 0.00 |
| 19 | 0.00 |
| 20 | 0.00 |